# 1
Ba2NiAgPb6 | PBE | optimized geometry

Cell: 7.496 7.496 13.926 Å, 74.39 74.39 60.00°
Element x y z (fractional)
Ba1 0.889 0.889 0.332
Ba2 0.111 0.111 0.668
Ba3 0.717 0.717 0.849
Ba4 0.283 0.283 0.151
Ni1 0.000 0.000 0.000
Ni2 0.500 0.500 0.500
Ag1 0.574 0.574 0.278
Ag2 0.426 0.426 0.722
Pb1 0.899 0.347 0.406
Pb2 0.347 0.899 0.406
Pb3 0.347 0.347 0.406
Pb4 0.101 0.653 0.594
Pb5 0.653 0.101 0.594
Pb6 0.653 0.653 0.594
Pb7 0.673 0.214 0.898
Pb8 0.214 0.673 0.898
Pb9 0.214 0.214 0.898
Pb10 0.327 0.786 0.102
Pb11 0.786 0.327 0.102
Pb12 0.786 0.786 0.102

Computed properties:
The calculation puts the formation energy at -0.175 eV/atom. The value obtained for the total energy is -72.96 eV/cell. The value obtained for the density of states at the Fermi level is 0.731 states/eV per atom. The total moment comes out at 0.000 Bohr magnetons per cell. Its symmetry is No. 166.

=====

# 2
Ba2ReNiAg | PBE | optimized geometry

Cell: 6.013 4.530 6.013 Å, 90.00 90.00 90.00°
Element x y z (fractional)
Re1 0.000 0.000 0.000
Ba1 0.000 0.000 0.500
Ba2 0.500 0.000 0.000
Ag1 0.500 0.500 0.500
Ni1 0.000 0.500 0.000

Computed properties:
The calculation puts the formation energy at 0.699 eV/atom. The value obtained for the total energy is -21.43 eV/cell. The value obtained for the density of states at the Fermi level is 0.905 states/eV per atom. The total moment comes out at 0.000 Bohr magnetons per cell. Its symmetry is No. 123.

=====

# 3
Ba2NiAgSe | PBE | optimized geometry

Cell: 5.821 5.821 4.765 Å, 90.00 90.00 90.00°
Element x y z (fractional)
Ni1 0.000 0.000 0.000
Se1 0.500 0.500 0.500
Ba1 0.000 0.500 0.000
Ba2 0.500 0.000 0.000
Ag1 0.000 0.000 0.500

Computed properties:
The value obtained for the total energy is -18.60 eV/cell. For the formation energy (no corrections), the calculation gives -0.527 eV/atom. The value obtained for the density of states at the Fermi level is 0.237 states/eV per atom. The total moment comes out at 0.000 Bohr magnetons per cell. Its symmetry is No. 123.

=====

# 4
Ba2NiAgSn | PBE | optimized geometry

Cell: 6.088 4.791 6.088 Å, 90.00 90.00 90.00°
Element x y z (fractional)
Ni1 0.000 0.000 0.000
Ba1 0.000 0.000 0.500
Ba2 0.500 0.000 0.000
Ag1 0.500 0.500 0.500
Sn1 0.000 0.500 0.000

Computed properties:
The calculation puts the formation energy at -0.220 eV/atom. The value obtained for the total energy is -17.58 eV/cell. The value obtained for the density of states at the Fermi level is 1.019 states/eV per atom. The total moment comes out at 0.000 Bohr magnetons per cell. Its symmetry is No. 123.

=====

# 5
BaNiAgSn2 | PBE | optimized geometry

Cell: 5.017 5.017 5.229 Å, 90.00 90.00 90.00°
Element x y z (fractional)
Ni1 0.000 0.000 0.000
Ba1 0.500 0.500 0.500
Ag1 0.000 0.000 0.500
Sn1 0.000 0.500 0.000
Sn2 0.500 0.000 0.000

Computed properties:
The calculation puts the formation energy at -0.220 eV/atom. The value obtained for the total energy is -19.66 eV/cell. The value obtained for the density of states at the Fermi level is 0.733 states/eV per atom. The total moment comes out at 0.000 Bohr magnetons per cell. Its symmetry is No. 123.

=====

# 6
BaSr2NiAg | PBE | optimized geometry

Cell: 5.740 5.740 5.905 Å, 90.00 90.00 90.00°
Element x y z (fractional)
Sr1 0.000 0.500 0.000
Sr2 0.500 0.000 0.000
Ba1 0.000 0.000 0.500
Ag1 0.500 0.500 0.500
Ni1 0.000 0.000 0.000

Computed properties:
The calculation puts the formation energy at 0.035 eV/atom. The value obtained for the total energy is -13.74 eV/cell. The value obtained for the density of states at the Fermi level is 0.473 states/eV per atom. The total moment comes out at 0.000 Bohr magnetons per cell. Its symmetry is No. 123.

=====

# 7
Ba2TlNiAg | PBE | optimized geometry

Cell: 5.956 5.956 5.005 Å, 90.00 90.00 90.00°
Element x y z (fractional)
Ni1 0.000 0.000 0.000
Tl1 0.000 0.000 0.500
Ba1 0.000 0.500 0.000
Ba2 0.500 0.000 0.000
Ag1 0.500 0.500 0.500

Computed properties:
The calculation puts the formation energy at -0.087 eV/atom. The value obtained for the total energy is -15.28 eV/cell. As for the distance to the lowest polymorph of the same formula: 0.00 eV/f.u. The value obtained for the density of states at the Fermi level is 0.822 states/eV per atom. The total moment comes out at 0.000 Bohr magnetons per cell. Its symmetry is No. 123.

=====

# 8
BaTl2NiAg | PBE | optimized geometry

Cell: 5.100 5.100 5.300 Å, 90.00 90.00 90.00°
Element x y z (fractional)
Ni1 0.000 0.000 0.000
Tl1 0.000 0.500 0.000
Tl2 0.500 0.000 0.000
Ba1 0.500 0.500 0.500
Ag1 0.000 0.000 0.500

Computed properties:
The calculation puts the formation energy at -0.090 eV/atom. The value obtained for the total energy is -15.74 eV/cell. The value obtained for the density of states at the Fermi level is 0.742 states/eV per atom. The total moment comes out at 0.000 Bohr magnetons per cell. Its symmetry is No. 123.

=====

# 9
BaTlNiAg2 | PBE | optimized geometry

Cell: 5.182 5.182 4.953 Å, 90.00 90.00 90.00°
Element x y z (fractional)
Ni1 0.000 0.000 0.000
Tl1 0.000 0.000 0.500
Ba1 0.500 0.500 0.500
Ag1 0.000 0.500 0.000
Ag2 0.500 0.000 0.000

Computed properties:
The calculation puts the formation energy at -0.016 eV/atom. The value obtained for the total energy is -15.85 eV/cell. The value obtained for the density of states at the Fermi level is 0.512 states/eV per atom. The total moment comes out at 0.000 Bohr magnetons per cell. Its symmetry is No. 123.

=====

# 10
Ba2TlNiAg | PBE | optimized geometry

Cell: 5.979 5.979 4.917 Å, 90.00 90.00 90.00°
Element x y z (fractional)
Ni1 0.000 0.000 0.000
Tl1 0.500 0.500 0.500
Ba1 0.000 0.500 0.000
Ba2 0.500 0.000 0.000
Ag1 0.000 0.000 0.500

Computed properties:
The calculation puts the formation energy at -0.010 eV/atom. The value obtained for the total energy is -14.89 eV/cell. As for the distance to the lowest polymorph of the same formula: 0.39 eV/f.u. The value obtained for the density of states at the Fermi level is 0.940 states/eV per atom. The total moment comes out at 0.001 Bohr magnetons per cell. Its symmetry is No. 123.

=====

# 11
BaZn2NiAg | PBE | optimized geometry

Cell: 4.728 4.728 5.191 Å, 90.00 90.00 90.00°
Element x y z (fractional)
Ni1 0.000 0.000 0.000
Zn1 0.000 0.500 0.000
Zn2 0.500 0.000 0.000
Ba1 0.500 0.500 0.500
Ag1 0.000 0.000 0.500

Computed properties:
The calculation puts the formation energy at -0.114 eV/atom. The value obtained for the total energy is -13.67 eV/cell. The value obtained for the density of states at the Fermi level is 0.488 states/eV per atom. The total moment comes out at 0.000 Bohr magnetons per cell. Its symmetry is No. 123.

=====

# 12
BaZrNi2Ag | PBE | optimized geometry

Cell: 4.818 5.483 4.818 Å, 90.00 90.00 90.00°
Element x y z (fractional)
Zr1 0.000 0.500 0.000
Ba1 0.000 0.000 0.000
Ag1 0.500 0.500 0.500
Ni1 0.000 0.000 0.500
Ni2 0.500 0.000 0.000

Computed properties:
The calculation puts the formation energy at 1.814 eV/atom. The value obtained for the total energy is -15.81 eV/cell. The value obtained for the density of states at the Fermi level is 1.236 states/eV per atom. The total moment comes out at 0.000 Bohr magnetons per cell. Its symmetry is No. 123.